The following is a DFT calculation (GGA-PBE) of a relaxed La3Y3Sc crystal.

Properties
- volume (A^3/atom) = 33.92
- Fermi-level density of states (states/eV/cell) = 43.2
- energy of formation (eV per atom) = 0.117
- space-group type = No. 62
- energy (eV for the cell shown) = -158.75
- total magnetization (μB/atom) = 0.000

a b c (Å): 5.734 13.224 12.524
angles (deg): 90.00 90.00 90.00
Fractional coordinates of all 28 atoms:
Y 0.750 0.477 0.566
Y 0.750 0.977 0.934
Y 0.250 0.523 0.434
Y 0.250 0.241 0.890
Y 0.250 0.023 0.066
Y 0.250 0.008 0.561
Y 0.750 0.759 0.110
Y 0.250 0.508 0.939
Y 0.750 0.992 0.439
Y 0.750 0.259 0.390
Y 0.250 0.741 0.610
Y 0.750 0.492 0.061
La 0.250 0.359 0.189
La 0.250 0.621 0.187
La 0.750 0.711 0.423
La 0.750 0.879 0.687
La 0.250 0.289 0.577
La 0.750 0.211 0.077
La 0.250 0.789 0.923
La 0.750 0.141 0.689
La 0.250 0.859 0.311
La 0.750 0.379 0.813
La 0.750 0.641 0.811
La 0.250 0.121 0.313
Sc 0.250 0.008 0.804
Sc 0.250 0.508 0.696
Sc 0.750 0.492 0.304
Sc 0.750 0.992 0.196

The following is a DFT calculation (GGA-PBE) of a relaxed AcUNbN3 crystal.

Properties
- volume (A^3/atom) = 17.65
- Fermi-level density of states (states/eV/cell) = 11.4
- space-group type = No. 11
- E_form (uncorrected) (eV per atom) = -0.92
- energy (eV for the cell shown) = -111.90
- total magnetization (μB/atom) = 0.220

a b c (Å): 3.428 7.552 8.327
angles (deg): 100.62 90.00 90.00
Fractional coordinates of all 12 atoms:
N 0.750 0.180 0.443
N 0.250 0.820 0.557
N 0.750 0.434 0.110
N 0.750 0.861 0.143
N 0.250 0.139 0.857
N 0.250 0.566 0.890
U 0.750 0.350 0.848
U 0.250 0.650 0.152
Ac 0.750 0.834 0.805
Ac 0.250 0.166 0.195
Nb 0.250 0.119 0.586
Nb 0.750 0.881 0.414